4
Lattice="3.3266 0.0000 0.0000 0.0000 3.3266 0.0000 0.0000 0.0000 8.8398" Properties=species:S:1:pos:R:3 comment="Sr2CoOs, relaxed, DFT PBEsol" sg="P4mm, No. 99" dos_at_fermi_per_ev_atom=1.2371 pbc="T T T"
Co 0.0000 0.0000 5.1550
Os 1.6633 1.6633 5.8861
Sr 0.0000 0.0000 8.1045
Sr 1.6633 1.6633 2.9539


5
Lattice="5.2085 0.0000 0.0000 0.0000 5.2085 0.0000 0.0000 0.0000 5.2085" Properties=species:S:1:pos:R:3 comment="Sr3CoOs, relaxed, DFT PBEsol" sg="Pm-3m, No. 221" dos_at_fermi_per_ev_atom=1.7849 pbc="T T T"
Sr 0.0000 2.6043 0.0000
Sr 0.0000 0.0000 2.6043
Sr 2.6043 0.0000 0.0000
Os 2.6043 2.6043 2.6043
Co 0.0000 0.0000 0.0000


3
Lattice="4.5012 0.0000 0.0000 2.2506 3.8981 0.0000 2.2506 1.2994 3.6752" Properties=species:S:1:pos:R:3 comment="SrCoOs, relaxed, DFT PBEsol" sg="F-43m, No. 216" dos_at_fermi_per_ev_atom=1.4090 pbc="T T T"
Co 0.0000 0.0000 0.0000
Os 4.5012 2.5988 1.8376
Sr 6.7518 3.8981 2.7564


4
Lattice="-0.9713 1.2643 2.3566 0.7835 -2.2627 1.5368 6.8098 3.1254 1.1300" Properties=species:S:1:pos:R:3 comment="SrCo2Os, relaxed, DFT PBEsol" sg="P4/mmm, No. 123" dos_at_fermi_per_ev_atom=0.9734 pbc="T T T"
Sr 3.3110 1.0635 2.5117
Os -0.0939 -0.4992 1.9467
Co 5.4954 2.5221 0.9119
Co 1.3144 0.6032 0.2181


5
Lattice="4.6829 0.0000 0.0000 0.0000 4.6829 0.0000 0.0000 0.0000 5.6112" Properties=species:S:1:pos:R:3 comment="SrTlCo2Os, relaxed, DFT PBEsol" sg="P4/mmm, No. 123" dos_at_fermi_per_ev_atom=2.0746 pbc="T T T"
Sr 0.0000 0.0000 2.8056
Tl 0.0000 0.0000 0.0000
Os 2.3415 2.3415 2.8056
Co 0.0000 2.3415 0.0000
Co 2.3415 0.0000 0.0000


4
Lattice="3.1323 0.0000 0.0000 0.0000 3.1323 0.0000 0.0000 0.0000 5.7006" Properties=species:S:1:pos:R:3 comment="TaCoOs2, relaxed, DFT PBEsol" sg="P4/mmm, No. 123" dos_at_fermi_per_ev_atom=1.3503 pbc="T T T"
Co 1.5661 1.5661 2.8503
Os 0.0000 0.0000 4.1385
Os 0.0000 0.0000 1.5621
Ta 1.5661 1.5661 0.0000


6
Lattice="-2.6204 -3.4560 2.8759 -1.6552 -4.4449 -2.1412 2.2314 -4.5125 1.3187" Properties=species:S:1:pos:R:3 comment="Ta4CoOs, relaxed, DFT PBEsol" sg="F-43m, No. 216" dos_at_fermi_per_ev_atom=0.8201 pbc="T T T"
Co -1.5330 -9.3101 1.5400
Os 0.0000 0.0000 0.0000
Ta -0.7655 -4.6488 0.7690
Ta 0.3547 -6.9141 1.4310
Ta -2.0810 -6.3837 2.2127
Ta -1.5964 -6.8802 -0.3060


4
Lattice="3.6644 0.0000 0.0000 0.0000 3.7236 0.0000 0.0000 0.0000 3.7236" Properties=species:S:1:pos:R:3 comment="TaCo2Os, relaxed, DFT PBEsol" sg="P4/mmm, No. 123" dos_at_fermi_per_ev_atom=0.9438 pbc="T T T"
Os 1.8322 1.8618 1.8618
Co 0.0000 0.0000 1.8618
Co 0.0000 1.8618 0.0000
Ta 1.8322 0.0000 0.0000


4
Lattice="-2.2526 -0.5379 3.0162 2.6822 -2.1556 1.6187 1.4853 3.0957 1.6614" Properties=species:S:1:pos:R:3 comment="TaCoOs2, relaxed, DFT PBEsol" sg="P4/mmm, No. 123" dos_at_fermi_per_ev_atom=0.9538 pbc="T T T"
Os 1.3411 -1.0778 0.8093
Os -1.1263 -0.2690 1.5081
Co 0.7426 1.5479 0.8307
Ta 0.9575 0.2011 3.1481


4
Lattice="-0.5730 0.8845 2.5008 0.2587 -2.5277 0.9532 7.3215 1.2195 1.2463" Properties=species:S:1:pos:R:3 comment="TaCoOs2, relaxed, DFT PBEsol" sg="P4mm, No. 99" dos_at_fermi_per_ev_atom=0.7073 pbc="T T T"
Co 5.4195 0.1072 2.6763
Os 7.2509 1.2077 1.2343
Os 1.5409 -0.5388 2.0161
Ta 3.7781 0.6293 0.6431


4
Lattice="3.7185 0.0000 0.0000 0.0000 3.7185 0.0000 -1.8592 -1.8592 3.6809" Properties=species:S:1:pos:R:3 comment="TaCo2Os, relaxed, DFT PBEsol" sg="I4/mmm, No. 139" dos_at_fermi_per_ev_atom=0.7489 pbc="T T T"
Os 1.8592 1.8592 0.0000
Co 1.8592 0.0000 1.8405
Co 0.0000 1.8592 1.8405
Ta 0.0000 0.0000 0.0000


4
Lattice="2.6772 0.0000 0.0000 -1.3386 4.2896 0.0009 0.0000 -0.8003 4.4796" Properties=species:S:1:pos:R:3 comment="TaCo2Os, relaxed, DFT PBEsol" sg="Cm, No. 8" dos_at_fermi_per_ev_atom=0.9715 pbc="T T T"
Co 1.3386 3.4553 4.4431
Co 0.0000 1.5506 3.2994
Os 1.3386 -0.3656 2.4391
Ta 1.3386 1.9381 1.0194


3
Lattice="-0.7066 3.8220 1.0859 -1.5240 0.8125 3.6474 2.3071 1.7603 2.8045" Properties=species:S:1:pos:R:3 comment="TaCoOs, relaxed, DFT PBEsol" sg="F-43m, No. 216" dos_at_fermi_per_ev_atom=1.0202 pbc="T T T"
Co 0.0191 1.5987 1.8844
Os 0.0000 0.0000 0.0000
Ta 0.0382 3.1974 3.7689


32
Lattice="-0.8821 -2.8699 -5.3838 5.0763 -2.2165 2.7050 -5.5337 -7.0081 4.6424" Properties=species:S:1:pos:R:3 comment="TaCo6Os, relaxed, DFT PBEsol" sg="Cmmm, No. 65" dos_at_fermi_per_ev_atom=1.2300 pbc="T T T"
Co -0.5022 -7.5891 4.1717
Co -2.3895 -10.0309 1.0183
Co -3.0589 -7.2672 4.3924
Co -3.5348 -7.9216 0.0550
Co -4.5350 -7.4290 2.3886
Co -0.9134 -9.8690 3.0221
Co -0.6697 -6.0472 0.9818
Co -1.6570 -5.5253 3.2738
Co -3.1852 -5.6929 1.1993
Co 2.1953 -4.1729 1.9087
Co 0.3176 -6.5692 -1.3102
Co -0.2971 -3.8030 2.1329
Co -0.8372 -4.5054 -2.2081
Co -1.8252 -3.9706 0.0584
Co 1.8457 -6.4016 0.7643
Co 2.0971 -2.5432 -1.3394
Co 1.0500 -2.0636 0.9453
Co -0.4261 -2.2254 -1.0585
Co -2.7669 -3.5040 2.3212
Co 0.4857 -8.1239 1.9052
Co -1.0424 -8.2914 -0.1692
Co 0.0000 0.0000 0.0000
Co 3.1955 -4.6654 -0.4249
Co 1.7194 -4.8273 -2.4288
Os 0.7791 -5.8884 2.9487
Os -2.1186 -6.2061 -0.9851
Os -4.1559 -5.2631 3.4865
Os -1.3779 -1.7450 1.1559
Ta 3.5664 -2.3821 0.6552
Ta 0.6279 -2.7043 -3.3339
Ta -2.0634 -7.8123 2.1510
Ta 0.7240 -4.2822 -0.1874


4
Lattice="-3.4026 0.4157 -1.6799 -1.2944 -3.0709 1.8619 1.2059 3.5449 2.7718" Properties=species:S:1:pos:R:3 comment="TaCoOs2, relaxed, DFT PBEsol" sg="I-4m2, No. 119" dos_at_fermi_per_ev_atom=0.8620 pbc="T T T"
Os 0.0000 0.0000 0.0000
Os -2.2725 1.3165 0.5914
Co -1.2185 -0.4268 2.3623
Ta -2.3485 -1.3276 0.0910


5
Lattice="4.1992 0.0000 0.0000 0.0000 4.1992 0.0000 0.0000 0.0000 4.8967" Properties=species:S:1:pos:R:3 comment="ZrTaCo2Os, relaxed, DFT PBEsol" sg="P4/mmm, No. 123" dos_at_fermi_per_ev_atom=1.2794 pbc="T T T"
Co 0.0000 2.0996 0.0000
Co 2.0996 0.0000 0.0000
Os 2.0996 2.0996 2.4483
Zr 0.0000 0.0000 0.0000
Ta 0.0000 0.0000 2.4483


4
Lattice="-1.7357 -1.7069 -0.8385 1.2289 -0.6614 2.1637 -5.9808 3.8369 4.5696" Properties=species:S:1:pos:R:3 comment="Co2TcOs, relaxed, DFT PBEsol" sg="Cmm2, No. 35" dos_at_fermi_per_ev_atom=1.4385 pbc="T T T"
Co -5.9191 3.7974 4.5225
Co -4.8096 1.7388 4.1438
Os -3.0417 1.9513 2.3240
Tc -1.6885 -0.2635 1.7591


3
Lattice="-1.1088 0.0037 -2.3537 0.0573 -2.2986 1.2175 -5.2351 2.4424 3.2841" Properties=species:S:1:pos:R:3 comment="CoTcOs, relaxed, DFT PBEsol" sg="Fmm2, No. 42" dos_at_fermi_per_ev_atom=1.4503 pbc="T T T"
Co -0.0126 0.0028 0.0059
Os -3.8748 0.8710 1.8268
Tc -2.3993 -0.7263 0.3153


3
Lattice="-0.9892 -2.9024 0.0820 2.6087 -0.9264 -1.3210 0.8933 1.4384 4.3165" Properties=species:S:1:pos:R:3 comment="CoTcOs, relaxed, DFT PBEsol" sg="I4mm, No. 107" dos_at_fermi_per_ev_atom=1.5618 pbc="T T T"
Co 2.5079 -2.3891 3.0668
Os 1.3585 -2.0678 0.5715
Tc 1.1593 -0.3240 2.5165


4
Lattice="3.6420 0.0000 0.0000 0.0000 3.6420 0.0000 -1.8210 -1.8210 3.6305" Properties=species:S:1:pos:R:3 comment="Co2TcOs, relaxed, DFT PBEsol" sg="I-4m2, No. 119" dos_at_fermi_per_ev_atom=1.2795 pbc="T T T"
Co 0.0000 0.0000 0.0000
Co 0.0000 1.8210 1.8152
Os 1.8210 1.8210 0.0000
Tc 1.8210 0.0000 1.8152


5
Lattice="4.2064 0.0000 0.0000 0.0000 4.2064 0.0000 0.0000 0.0000 4.2064" Properties=species:S:1:pos:R:3 comment="Co3TcOs, relaxed, DFT PBEsol" sg="Pm-3m, No. 221" dos_at_fermi_per_ev_atom=1.7272 pbc="T T T"
Co 0.0000 2.1032 0.0000
Co 0.0000 0.0000 2.1032
Co 2.1032 0.0000 0.0000
Os 2.1032 2.1032 2.1032
Tc 0.0000 0.0000 0.0000


4
Lattice="2.5702 0.0000 0.0000 0.0000 4.4472 0.0274 -1.2851 -0.7169 4.1986" Properties=species:S:1:pos:R:3 comment="Co2TcOs, relaxed, DFT PBEsol" sg="Cm, No. 8" dos_at_fermi_per_ev_atom=1.2972 pbc="T T T"
Co 0.0000 4.4435 0.0333
Co 0.0000 2.9786 2.1073
Os 1.2851 2.2924 0.0443
Tc 1.2851 0.6866 2.0823


4
Lattice="2.5630 0.0000 0.0000 0.0000 3.9382 0.0000 -1.2815 0.0000 4.7101" Properties=species:S:1:pos:R:3 comment="Co2TcOs, relaxed, DFT PBEsol" sg="Amm2, No. 38" dos_at_fermi_per_ev_atom=0.8194 pbc="T T T"
Co 0.0000 0.0000 1.7813
Co 0.0000 1.9691 0.5338
Os 0.0000 0.0000 4.2973
Tc 1.2815 1.9691 2.7491


4
Lattice="2.6009 0.0000 0.0000 -1.3005 4.2232 0.0022 0.0000 -0.7956 4.4397" Properties=species:S:1:pos:R:3 comment="Co2TcOs, relaxed, DFT PBEsol" sg="C2/m, No. 12" dos_at_fermi_per_ev_atom=1.3823 pbc="T T T"
Co 1.3005 1.5064 3.3247
Co 0.0000 1.9212 1.1173
Os 0.0000 -0.3978 2.2199
Tc 1.3005 0.0000 0.0000


5
Lattice="-2.7397 2.1080 -2.5289 -0.9109 -3.6470 -2.0531 -3.1638 -0.7754 2.7811" Properties=species:S:1:pos:R:3 comment="CoTcOs3, relaxed, DFT PBEsol" sg="Pm-3m, No. 221" dos_at_fermi_per_ev_atom=1.3853 pbc="T T T"
Co 0.0000 0.0000 0.0000
Os -0.4555 -1.8235 -1.0266
Os -1.5819 -0.3877 1.3905
Os -1.3699 1.0540 -1.2645
Tc -3.4072 -1.1572 -0.9005


4
Lattice="-2.0361 -0.5076 -2.4445 3.4033 -2.0167 -2.4159 -1.1495 -4.1092 1.8108" Properties=species:S:1:pos:R:3 comment="CoTe2Os, relaxed, DFT PBEsol" sg="P4/mmm, No. 123" dos_at_fermi_per_ev_atom=1.2319 pbc="T T T"
Co 0.1088 -3.3167 -1.5248
Os -1.0181 -0.2538 -1.2223
Te -0.5748 -2.0546 0.9054
Te 1.7016 -1.0083 -1.2080


3
Lattice="3.0572 0.0000 0.0000 0.0000 3.0572 0.0000 -1.5286 -1.5286 4.9481" Properties=species:S:1:pos:R:3 comment="CoTeOs, relaxed, DFT PBEsol" sg="I4mm, No. 107" dos_at_fermi_per_ev_atom=1.1284 pbc="T T T"
Co 0.0000 0.0000 0.0997
Os 1.5286 1.5286 1.5518
Te 0.0000 0.0000 3.2966


3
Lattice="4.1955 0.0000 0.0000 2.0977 3.6334 0.0000 2.0977 1.2111 3.4256" Properties=species:S:1:pos:R:3 comment="CoTeOs, relaxed, DFT PBEsol" sg="F-43m, No. 216" dos_at_fermi_per_ev_atom=1.3972 pbc="T T T"
Co 4.1955 2.4223 1.7128
Os 2.0977 1.2111 0.8564
Te 0.0000 0.0000 0.0000


4
Lattice="-0.5351 3.2674 0.1493 -2.0838 1.4374 -2.1392 -7.0222 0.3256 4.4919" Properties=species:S:1:pos:R:3 comment="CoTe2Os, relaxed, DFT PBEsol" sg="R-3m, No. 166" dos_at_fermi_per_ev_atom=0.6542 pbc="T T T"
Co -4.8206 2.5152 1.2510
Te -4.5105 4.3225 -0.4041
Te -5.1307 0.7079 2.9061
Os 0.0000 0.0000 0.0000


no.,energy (eV per atom)
1,-5.374
2,-3.877
3,-4.931
4,-6.818
5,-4.241
6,-11.132
7,-11.082
8,-10.265
9,-11.346
10,-11.170
11,-10.224
12,-10.099
13,-10.456
14,-8.953
15,-11.290
16,-7.895
17,-9.329
18,-9.954
19,-10.133
20,-9.679
21,-7.375
22,-9.651
23,-9.729
24,-9.583
25,-9.169
26,-6.095
27,-7.112
28,-7.302
29,-6.057